The following is a GGA-PBE calculation of a geometry-optimized CePrAsS structure, from the Alexandria database.

```
data_CePrAsS
_chemical_formula_sum 'Ce3 Pr3 As3 S3'
_symmetry_space_group_name_H-M 'R 3 m'
_symmetry_Int_Tables_number 160
_symmetry_space_group_name_Hall 'R 3 -2"'
_cell_length_a 4.1762
_cell_length_b 4.1762
_cell_length_c 20.3990
_cell_angle_alpha 90.00
_cell_angle_beta 90.00
_cell_angle_gamma 120.00
loop_
_atom_site_label
_atom_site_fract_x
_atom_site_fract_y
_atom_site_fract_z
Ce1 0.0000 0.0000 0.0000
Pr1 0.0000 0.0000 0.4964
As1 0.0000 0.0000 0.2505
S1 0.0000 0.0000 0.7461
```

Output
- formation energy without anion corrections (eV/f.u.) = -7.0
- magnetic moment (Bohr magnetons per cell) = 2.3
- Fermi-level density of states (states/eV/cell) = 18.983
- crystal system = trigonal
- calculated total energy (eV per cell) = -79.6